The following is a GGA-PBEsol calculation of a geometry-optimized Ca4Ta2O9 structure, from the Alexandria database.

Formation energy from raw total energies ... -3.07 eV/atom
V ... 413 Å³/cell
Space-group type ... P-3 (147)
Total energy ... -8.463 eV per atom

Cell and atoms, written as POSCAR:
```
Ca4Ta2O9
1.0
5.637 0.002 -0.009
2.817 4.882 -0.004
0.026 -0.001 15.012
Ca Ta O
8 4 18
direct
0.000 0.000 0.740
0.000 0.000 0.500
0.000 0.000 0.000
0.333 0.333 0.644
0.334 0.333 0.859
0.666 0.667 0.141
0.667 0.667 0.356
0.000 0.000 0.260
0.333 0.334 0.149
0.333 0.333 0.348
0.667 0.667 0.652
0.667 0.666 0.851
0.032 0.395 0.250
0.283 0.056 0.400
0.290 0.054 0.096
0.056 0.661 0.400
0.054 0.655 0.096
0.573 0.032 0.250
0.395 0.573 0.250
0.346 0.709 0.904
0.339 0.717 0.600
0.661 0.283 0.400
0.654 0.291 0.096
0.605 0.427 0.750
0.427 0.968 0.750
0.946 0.345 0.904
0.944 0.339 0.600
0.710 0.946 0.904
0.717 0.944 0.600
0.968 0.605 0.750
```